Entry 1:
The following is a PBE calculation of a geometry-optimized Sc2CoBPb structure, from the Alexandria database.

Properties
calculated volume	17.44	A^3/atom
uncorrected energy	-31.6	eV per cell
magnetization	0.0	Bohr magnetons per cell
crystal system	tetragonal

Unit cell a=4.726 b=4.726 c=3.904 alpha=90.00 beta=90.00 gamma=90.00
Element x y z (fractional)
1 Sc 0.000 0.500 0.000
2 Sc 0.500 0.000 0.000
3 Co 0.000 0.000 0.500
4 B 0.000 0.000 0.000
5 Pb 0.500 0.500 0.500

---

Entry 2:
The following is a PBE calculation of a geometry-optimized Y2CoBPb structure, from the Alexandria database.

Properties
calculated volume	20.75	A^3/atom
uncorrected energy	-31.8	eV per cell
magnetization	0.0	Bohr magnetons per cell
crystal system	tetragonal

Unit cell a=5.161 b=5.161 c=3.895 alpha=90.00 beta=90.00 gamma=90.00
Element x y z (fractional)
1 Y 0.000 0.500 0.000
2 Y 0.500 0.000 0.000
3 Co 0.000 0.000 0.500
4 B 0.000 0.000 0.000
5 Pb 0.500 0.500 0.500

---

Entry 3:
The following is a PBE calculation of a geometry-optimized CoBPd structure, from the Alexandria database.

Properties
calculated volume	10.53	A^3/atom
uncorrected energy	-37.9	eV per cell
magnetization	2.0	Bohr magnetons per cell
crystal system	orthorhombic

Unit cell a=5.222 b=4.384 c=4.334 alpha=73.58 beta=53.65 gamma=52.77
Element x y z (fractional)
1 Co 0.175 0.175 0.825
2 Co 0.825 0.825 0.175
3 B 0.250 0.250 0.250
4 B 0.750 0.750 0.750
5 Pd 0.326 0.674 0.326
6 Pd 0.674 0.326 0.674

---

Entry 4:
The following is a PBE calculation of a geometry-optimized CoBPd2 structure, from the Alexandria database.

Properties
calculated volume	13.44	A^3/atom
uncorrected energy	-46.9	eV per cell
magnetization	3.4	Bohr magnetons per cell
crystal system	tetragonal

Unit cell a=5.443 b=5.443 c=5.443 alpha=98.97 beta=98.97 gamma=133.48
Element x y z (fractional)
1 Co 0.000 0.000 0.000
2 Co 0.750 0.250 0.500
3 B 0.250 0.750 0.500
4 B 0.500 0.500 0.000
5 Pd 0.240 0.625 0.115
6 Pd 0.375 0.490 0.615
7 Pd 0.510 0.125 0.885
8 Pd 0.875 0.760 0.385

---

Entry 5:
The following is a PBE calculation of a geometry-optimized Co3BPd structure, from the Alexandria database.

Properties
calculated volume	11.30	A^3/atom
uncorrected energy	-32.6	eV per cell
energy relative to the lowest polymorph listed for this composition	0.0	meV per atom
magnetization	4.0	Bohr magnetons per cell
crystal system	cubic

Unit cell a=3.837 b=3.837 c=3.837 alpha=90.00 beta=90.00 gamma=90.00
Element x y z (fractional)
1 Co 0.000 0.000 0.500
2 Co 0.000 0.500 0.000
3 Co 0.500 0.000 0.000
4 B 0.000 0.000 0.000
5 Pd 0.500 0.500 0.500

---

Entry 6:
The following is a PBE calculation of a geometry-optimized Co3BPd structure, from the Alexandria database.

Properties
calculated volume	18.83	A^3/atom
uncorrected energy	-22.2	eV per cell
energy relative to the lowest polymorph listed for this composition	2077.3	meV per atom
magnetization	6.6	Bohr magnetons per cell
crystal system	cubic

Unit cell a=4.549 b=4.549 c=4.549 alpha=90.00 beta=90.00 gamma=90.00
Element x y z (fractional)
1 Co 0.000 0.000 0.500
2 Co 0.000 0.500 0.000
3 Co 0.500 0.000 0.000
4 B 0.500 0.500 0.500
5 Pd 0.000 0.000 0.000

---

Entry 7:
The following is a PBE calculation of a geometry-optimized ScCo2BPd structure, from the Alexandria database.

Properties
calculated volume	12.63	A^3/atom
uncorrected energy	-34.5	eV per cell
magnetization	0.0	Bohr magnetons per cell
crystal system	tetragonal

Unit cell a=3.913 b=3.913 c=4.124 alpha=90.00 beta=90.00 gamma=90.00
Element x y z (fractional)
1 Sc 0.000 0.000 0.000
2 Co 0.000 0.500 0.500
3 Co 0.500 0.000 0.500
4 B 0.500 0.500 0.500
5 Pd 0.500 0.500 0.000

---

Entry 8:
The following is a PBE calculation of a geometry-optimized Tl2CoBPd structure, from the Alexandria database.

Properties
calculated volume	17.74	A^3/atom
uncorrected energy	-20.7	eV per cell
magnetization	0.1	Bohr magnetons per cell
crystal system	tetragonal

Unit cell a=4.837 b=4.837 c=3.790 alpha=90.00 beta=90.00 gamma=90.00
Element x y z (fractional)
1 Tl 0.000 0.500 0.000
2 Tl 0.500 0.000 0.000
3 Co 0.000 0.000 0.500
4 B 0.000 0.000 0.000
5 Pd 0.500 0.500 0.500

---

Entry 9:
The following is a PBE calculation of a geometry-optimized VCoBPd2 structure, from the Alexandria database.

Properties
calculated volume	17.42	A^3/atom
uncorrected energy	-24.9	eV per cell
magnetization	0.0	Bohr magnetons per cell
crystal system	tetragonal

Unit cell a=4.628 b=4.628 c=4.067 alpha=90.00 beta=90.00 gamma=90.00
Element x y z (fractional)
1 V 0.000 0.000 0.000
2 Co 0.000 0.000 0.500
3 B 0.500 0.500 0.500
4 Pd 0.000 0.500 0.000
5 Pd 0.500 0.000 0.000

---

Entry 10:
The following is a PBE calculation of a geometry-optimized ZrCoB2Pd structure, from the Alexandria database.

Properties
calculated volume	13.71	A^3/atom
uncorrected energy	-32.6	eV per cell
magnetization	0.0	Bohr magnetons per cell
crystal system	tetragonal

Unit cell a=3.773 b=3.773 c=4.815 alpha=90.00 beta=90.00 gamma=90.00
Element x y z (fractional)
1 Zr 0.000 0.000 0.000
2 Co 0.500 0.500 0.500
3 B 0.000 0.500 0.500
4 B 0.500 0.000 0.500
5 Pd 0.500 0.500 0.000

---

Entry 11:
The following is a PBE calculation of a geometry-optimized Pm3Co4B2 structure, from the Alexandria database.

Properties
calculated volume	15.93	A^3/atom
uncorrected energy	-57.3	eV per cell
magnetization	0.0	Bohr magnetons per cell
crystal system	monoclinic

Unit cell a=5.413 b=5.413 c=8.187 alpha=102.19 beta=102.19 gamma=37.81
Element x y z (fractional)
1 Pm 0.000 0.000 0.000
2 Pm 0.386 0.386 0.621
3 Pm 0.614 0.614 0.379
4 Co 0.107 0.107 0.663
5 Co 0.268 0.268 0.912
6 Co 0.732 0.732 0.088
7 Co 0.893 0.893 0.337
8 B 0.318 0.318 0.198
9 B 0.682 0.682 0.802

---

Entry 12:
The following is a PBE calculation of a geometry-optimized PmCoB14 structure, from the Alexandria database.

Properties
calculated volume	8.09	A^3/atom
uncorrected energy	-215.0	eV per cell
magnetization	3.9	Bohr magnetons per cell
crystal system	orthorhombic

Unit cell a=7.362 b=7.362 c=7.362 alpha=133.27 beta=87.46 gamma=111.03
Element x y z (fractional)
1 Pm 0.379 0.129 0.250
2 Pm 0.621 0.871 0.750
3 Co 0.000 0.000 0.500
4 Co 0.000 0.500 0.000
5 B 0.000 0.135 0.865
6 B 0.000 0.865 0.135
7 B 0.032 0.204 0.331
8 B 0.032 0.701 0.828
9 B 0.078 0.667 0.411
10 B 0.201 0.535 0.666
11 B 0.218 0.499 0.396
12 B 0.218 0.822 0.719
13 B 0.231 0.865 0.365
14 B 0.244 0.333 0.911
15 B 0.369 0.535 0.834
16 B 0.373 0.204 0.672
17 B 0.373 0.701 0.169
18 B 0.398 0.178 0.896
19 B 0.398 0.501 0.219
20 B 0.602 0.499 0.781
21 B 0.602 0.822 0.104
22 B 0.627 0.299 0.831
23 B 0.627 0.796 0.328
24 B 0.631 0.465 0.166
25 B 0.756 0.667 0.089
26 B 0.769 0.135 0.635
27 B 0.782 0.178 0.281
28 B 0.782 0.501 0.604
29 B 0.799 0.465 0.334
30 B 0.922 0.333 0.589
31 B 0.968 0.299 0.172
32 B 0.968 0.796 0.669

---

Entry 13:
The following is a PBE calculation of a geometry-optimized PmCoB4 structure, from the Alexandria database.

Properties
calculated volume	10.00	A^3/atom
uncorrected energy	-82.9	eV per cell
magnetization	0.0	Bohr magnetons per cell
crystal system	orthorhombic

Unit cell a=5.981 b=5.981 c=3.460 alpha=90.00 beta=90.00 gamma=104.10
Element x y z (fractional)
1 Pm 0.200 0.800 0.000
2 Pm 0.800 0.200 0.000
3 Co 0.322 0.322 0.000
4 Co 0.678 0.678 0.000
5 B 0.126 0.432 0.500
6 B 0.132 0.132 0.500
7 B 0.411 0.589 0.500
8 B 0.432 0.126 0.500
9 B 0.568 0.874 0.500
10 B 0.589 0.411 0.500
11 B 0.868 0.868 0.500
12 B 0.874 0.568 0.500

---

Entry 14:
The following is a PBE calculation of a geometry-optimized PmCo3B3 structure, from the Alexandria database.

Properties
calculated volume	11.64	A^3/atom
uncorrected energy	-93.6	eV per cell
energy relative to the lowest polymorph listed for this composition	0.0	meV per atom
magnetization	0.1	Bohr magnetons per cell
crystal system	trigonal

Unit cell a=7.429 b=7.429 c=7.429 alpha=41.53 beta=41.53 gamma=41.53
Element x y z (fractional)
1 Pm 0.161 0.161 0.161
2 Pm 0.839 0.839 0.839
3 Co 0.062 0.603 0.205
4 Co 0.205 0.062 0.603
5 Co 0.397 0.795 0.938
6 Co 0.603 0.205 0.062
7 Co 0.795 0.938 0.397
8 Co 0.938 0.397 0.795
9 B 0.210 0.599 0.391
10 B 0.391 0.210 0.599
11 B 0.401 0.609 0.790
12 B 0.599 0.391 0.210
13 B 0.609 0.790 0.401
14 B 0.790 0.401 0.609

---

Entry 15:
The following is a PBE calculation of a geometry-optimized PmCo3B2 structure, from the Alexandria database.

Properties
calculated volume	11.50	A^3/atom
uncorrected energy	-82.8	eV per cell
energy relative to the lowest polymorph listed for this composition	0.0	meV per atom
magnetization	0.3	Bohr magnetons per cell
crystal system	orthorhombic

Unit cell a=6.212 b=6.212 c=4.781 alpha=90.00 beta=90.00 gamma=131.56
Element x y z (fractional)
1 Pm 0.088 0.912 0.750
2 Pm 0.912 0.088 0.250
3 Co 0.035 0.446 0.750
4 Co 0.446 0.035 0.250
5 Co 0.482 0.518 0.750
6 Co 0.518 0.482 0.250
7 Co 0.554 0.965 0.750
8 Co 0.965 0.554 0.250
9 B 0.344 0.656 0.064
10 B 0.344 0.656 0.436
11 B 0.656 0.344 0.564
12 B 0.656 0.344 0.936

---

Entry 16:
The following is a PBE calculation of a geometry-optimized PmCo3B structure, from the Alexandria database.

Properties
calculated volume	14.30	A^3/atom
uncorrected energy	-61.9	eV per cell
energy relative to the lowest polymorph listed for this composition	569.3	meV per atom
magnetization	6.1	Bohr magnetons per cell
crystal system	orthorhombic

Unit cell a=5.753 b=5.753 c=4.864 alpha=90.00 beta=90.00 gamma=117.33
Element x y z (fractional)
1 Pm 0.080 0.920 0.750
2 Pm 0.920 0.080 0.250
3 Co 0.016 0.595 0.250
4 Co 0.405 0.984 0.250
5 Co 0.500 0.500 0.000
6 Co 0.500 0.500 0.500
7 Co 0.595 0.016 0.750
8 Co 0.984 0.405 0.750
9 B 0.339 0.661 0.750
10 B 0.661 0.339 0.250

---

Entry 17:
The following is a PBE calculation of a geometry-optimized PmCo3B3 structure, from the Alexandria database.

Properties
calculated volume	11.13	A^3/atom
uncorrected energy	-185.0	eV per cell
energy relative to the lowest polymorph listed for this composition	80.1	meV per atom
magnetization	0.0	Bohr magnetons per cell
crystal system	cubic

Unit cell a=6.780 b=6.780 c=6.780 alpha=90.00 beta=90.00 gamma=90.00
Element x y z (fractional)
1 Pm 0.054 0.446 0.554
2 Pm 0.446 0.554 0.054
3 Pm 0.554 0.054 0.446
4 Pm 0.946 0.946 0.946
5 Co 0.111 0.611 0.889
6 Co 0.182 0.182 0.182
7 Co 0.189 0.811 0.311
8 Co 0.311 0.189 0.811
9 Co 0.318 0.818 0.682
10 Co 0.389 0.389 0.389
11 Co 0.611 0.889 0.111
12 Co 0.682 0.318 0.818
13 Co 0.689 0.689 0.689
14 Co 0.811 0.311 0.189
15 Co 0.818 0.682 0.318
16 Co 0.889 0.111 0.611
17 B 0.028 0.541 0.160
18 B 0.041 0.340 0.972
19 B 0.160 0.028 0.541
20 B 0.340 0.972 0.041
21 B 0.459 0.660 0.472
22 B 0.472 0.459 0.660
23 B 0.528 0.959 0.840
24 B 0.541 0.160 0.028
25 B 0.660 0.472 0.459
26 B 0.840 0.528 0.959
27 B 0.959 0.840 0.528
28 B 0.972 0.041 0.340

---

Entry 18:
The following is a PBE calculation of a geometry-optimized PmCo4B structure, from the Alexandria database.

Properties
calculated volume	13.46	A^3/atom
uncorrected energy	-80.5	eV per cell
magnetization	7.9	Bohr magnetons per cell
crystal system	orthorhombic

Unit cell a=6.392 b=6.392 c=6.760 alpha=90.00 beta=90.00 gamma=144.20
Element x y z (fractional)
1 Pm 0.092 0.908 0.750
2 Pm 0.908 0.092 0.250
3 Co 0.171 0.829 0.250
4 Co 0.299 0.701 0.533
5 Co 0.299 0.701 0.967
6 Co 0.500 0.500 0.000
7 Co 0.500 0.500 0.500
8 Co 0.701 0.299 0.033
9 Co 0.701 0.299 0.467
10 Co 0.829 0.171 0.750
11 B 0.410 0.590 0.750
12 B 0.590 0.410 0.250

---

Entry 19:
The following is a PBE calculation of a geometry-optimized PmCoB2 structure, from the Alexandria database.

Properties
calculated volume	12.90	A^3/atom
uncorrected energy	-51.6	eV per cell
energy relative to the lowest polymorph listed for this composition	136.1	meV per atom
magnetization	0.0	Bohr magnetons per cell
crystal system	monoclinic

Unit cell a=5.093 b=5.093 c=4.886 alpha=104.24 beta=104.24 gamma=114.10
Element x y z (fractional)
1 Pm 0.115 0.885 0.750
2 Pm 0.885 0.115 0.250
3 Co 0.464 0.536 0.750
4 Co 0.536 0.464 0.250
5 B 0.192 0.528 0.025
6 B 0.472 0.808 0.475
7 B 0.528 0.192 0.525
8 B 0.808 0.472 0.975

---

Entry 20:
The following is a PBE calculation of a geometry-optimized PmCo3B2 structure, from the Alexandria database.

Properties
calculated volume	11.62	A^3/atom
uncorrected energy	-121.7	eV per cell
energy relative to the lowest polymorph listed for this composition	139.8	meV per atom
magnetization	7.0	Bohr magnetons per cell
crystal system	hexagonal

Unit cell a=8.571 b=8.571 c=3.288 alpha=90.00 beta=90.00 gamma=120.00
Element x y z (fractional)
1 Pm 0.000 0.000 0.000
2 Pm 0.333 0.667 0.500
3 Pm 0.667 0.333 0.500
4 Co 0.000 0.286 0.500
5 Co 0.000 0.500 0.000
6 Co 0.000 0.714 0.500
7 Co 0.286 0.000 0.500
8 Co 0.286 0.286 0.500
9 Co 0.500 0.000 0.000
10 Co 0.500 0.500 0.000
11 Co 0.714 0.000 0.500
12 Co 0.714 0.714 0.500
13 B 0.185 0.369 0.000
14 B 0.185 0.815 0.000
15 B 0.369 0.185 0.000
16 B 0.631 0.815 0.000
17 B 0.815 0.185 0.000
18 B 0.815 0.631 0.000

---

no.,DFT formation energy (kcal/mol of atoms)
1,-6.84
2,-6.35
3,0.24
4,4.20
5,2.79
6,50.69
7,-9.61
8,14.07
9,38.53
10,7.47
11,-3.20
12,-3.10
13,-11.09
14,-2.30
15,-7.58
16,8.35
17,-0.46
18,-1.56
19,-3.39
20,-4.36